A relaxed TbSm2DyTe5 crystal. Source: Alexandria, functional PBE.

Geometry as POSCAR:
```
TbSm2DyTe5
1.0
-0.912 -3.090 -4.532
5.246 -1.834 0.196
-3.340 -8.836 6.697
Tb Sm Dy Te
1 2 1 5
direct
0.000 0.000 0.500 Tb
0.500 0.500 0.344 Sm
0.500 0.500 0.656 Sm
0.000 0.000 0.000 Dy
0.000 0.500 0.500 Te
0.500 0.000 0.500 Te
0.000 0.000 0.755 Te
0.000 0.000 0.245 Te
0.500 0.500 0.000 Te
```

Properties
Size of the total moment, μB per formula unit: 0.596
Volume, Å³/atom: 39.8
ΔE_f (raw), eV per atom: -0.733